Entry 1:
# PBE Th2CoCu, relaxed
# **Excess energy over the best structure of this formula in the dataset**: 0.57 eV per formula unit
# **Calculated formation energy**: -30 kJ/mol of formula units
# **Crystal system**: cubic
data_Th2CoCu
_symmetry_space_group_name_H-M 'F m -3 m'
_symmetry_Int_Tables_number 225
_symmetry_space_group_name_Hall '-F 4 2 3'
_cell_length_a 7.0348
_cell_length_b 7.0348
_cell_length_c 7.0348
_cell_angle_alpha 90.00
_cell_angle_beta 90.00
_cell_angle_gamma 90.00
loop_
_atom_site_label
_atom_site_type_symbol
_atom_site_fract_x
_atom_site_fract_y
_atom_site_fract_z
Th1 Th 0.2500 0.2500 0.2500
Co1 Co 0.0000 0.0000 0.0000
Cu1 Cu 0.0000 0.0000 0.5000

Entry 2:
# PBE MnFeCoP, relaxed
# **Calculated formation energy**: -93 kJ/mol of formula units
# **Crystal system**: cubic
data_MnFeCoP
_symmetry_space_group_name_H-M 'F -4 3 m'
_symmetry_Int_Tables_number 216
_symmetry_space_group_name_Hall 'F -4 2 3'
_cell_length_a 5.5792
_cell_length_b 5.5792
_cell_length_c 5.5792
_cell_angle_alpha 90.00
_cell_angle_beta 90.00
_cell_angle_gamma 90.00
loop_
_atom_site_label
_atom_site_type_symbol
_atom_site_fract_x
_atom_site_fract_y
_atom_site_fract_z
Mn1 Mn 0.0000 0.0000 0.0000
Fe1 Fe 0.2500 0.2500 0.7500
Co1 Co 0.2500 0.2500 0.2500
P1 P 0.0000 0.0000 0.5000

Entry 3:
# PBE Mo2HIrW, relaxed
# **Excess energy over the best structure of this formula in the dataset**: 0.10 eV per formula unit
# **Crystal system**: tetragonal
data_Mo2HIrW
_symmetry_space_group_name_H-M 'P 4/m m m'
_symmetry_Int_Tables_number 123
_symmetry_space_group_name_Hall '-P 4 2'
_cell_length_a 4.0229
_cell_length_b 4.0229
_cell_length_c 3.9664
_cell_angle_alpha 90.00
_cell_angle_beta 90.00
_cell_angle_gamma 90.00
loop_
_atom_site_label
_atom_site_type_symbol
_atom_site_fract_x
_atom_site_fract_y
_atom_site_fract_z
Mo1 Mo 0.0000 0.5000 0.0000
H1 H 0.0000 0.0000 0.0000
Ir1 Ir 0.0000 0.0000 0.5000
W1 W 0.5000 0.5000 0.5000